(w)
An optimized crystal structure of Mg3Ag2Pt, computed with PBE.

Cell and atoms, written as extended XYZ:
```
12
Lattice="4.6220 0.0000 0.0000 -2.3110 4.0028 0.0000 0.0000 0.0000 11.3377" Properties=species:S:1:pos:R:3 pbc="T T T"
Pt 2.3110 1.3343 3.7964
Pt 0.0000 2.6685 7.5413
Mg 0.0000 0.0000 8.4170
Mg 0.0000 2.6685 10.3088
Mg 0.0000 0.0000 2.9208
Mg 2.3110 1.3343 6.6111
Mg 0.0000 2.6685 4.7267
Mg 2.3110 1.3343 1.0290
Ag 2.3110 1.3343 9.4388
Ag 0.0000 0.0000 5.6689
Ag 0.0000 2.6685 1.8989
Ag 0.0000 0.0000 0.0000
```

Computed properties:
Total magnetic moment in μB/f.u.: 0.00

(x)
An optimized crystal structure of Mg3Ag2Pt, computed with PBE.

Cell and atoms, written as extended XYZ:
```
6
Lattice="-0.6453 -0.0413 -3.1907 0.9728 -3.1029 -0.1566 -9.3231 -3.0201 1.9247" Properties=species:S:1:pos:R:3 pbc="T T T"
Mg 0.0000 0.0000 0.0000
Mg -3.2618 -1.0566 0.6734
Mg -6.0612 -1.9635 1.2513
Ag -1.4625 -2.0989 -1.3380
Ag -7.5331 -4.0654 -0.0847
Pt -4.4978 -3.0822 -0.7113
```

Computed properties:
Total magnetic moment in μB/f.u.: 0.00

Most stable structure, least stable structure: (w), (x).

(w)
An optimized crystal structure of Mg2AgPt2, computed with PBE.

Cell and atoms, written as extended XYZ:
```
10
Lattice="-5.7600 0.3717 4.9671 4.9535 -0.3697 5.7719 0.2041 2.9653 0.0148" Properties=species:S:1:pos:R:3 pbc="T T T"
Ag 0.0000 0.0000 0.0000
Ag -0.4033 0.0010 5.3695
Mg 2.4501 1.2981 4.6066
Mg 0.4663 1.4171 8.1345
Mg -3.0525 1.6692 6.1472
Mg -1.0687 1.5502 2.6193
Pt -2.9911 0.1861 3.9630
Pt 1.0009 -0.0827 2.7751
Pt -1.8074 0.0847 7.9639
Pt 2.1846 -0.1841 6.7760
```

Computed properties:
Total magnetic moment in μB/f.u.: 0.00

(x)
An optimized crystal structure of Mg2AgPt2, computed with PBE.

Cell and atoms, written as extended XYZ:
```
10
Lattice="7.6782 0.0000 0.0000 0.0000 7.6782 0.0000 0.0000 0.0000 2.9050" Properties=species:S:1:pos:R:3 pbc="T T T"
Mg 1.0945 2.7446 0.0000
Mg 6.5837 4.9335 0.0000
Mg 4.9335 1.0945 0.0000
Mg 2.7446 6.5837 0.0000
Pt 1.1794 5.0185 1.4525
Pt 2.6597 1.1794 1.4525
Pt 5.0185 6.4988 1.4525
Pt 6.4988 2.6597 1.4525
Ag 3.8391 3.8391 0.0000
Ag 0.0000 0.0000 0.0000
```

Computed properties:
Total magnetic moment in μB/f.u.: 0.00

Most stable structure, least stable structure: (w), (x).